Entry 1:
SrFeCoS3, optimized geometry, DFT PBE; magnetic moment = 0.272 μB per atom; calculated density = 4.6 g/cm³; uncorrected energy = -5.70 eV per atom
1.0
-2.4730 1.8865 -2.0792
-3.1471 -4.5260 -3.7294
-6.2329 -1.0156 6.4921
S Fe Co Sr
6 2 2 2
Cartesian
-5.1729 -1.0133 1.8672
-6.6801 -2.6419 -1.1838
-4.2785 0.9249 -0.8042
-4.2292 -2.2425 -3.7366
-7.5746 -4.5801 1.4877
-7.6238 -1.4126 4.4201
-3.1165 -0.5078 3.2461
0.0000 0.0000 0.0000
-6.0059 -0.0894 3.6962
-5.8472 -3.5657 -3.0127
-3.7517 -2.0501 -0.7638
-8.1013 -1.6051 1.4473

***

Entry 2:
FeCoSb, optimized geometry, DFT PBE; magnetic moment = 1.138 μB per atom; calculated density = 8.9 g/cm³; uncorrected energy = -6.30 eV per atom
1.0
6.9925 0.0000 0.0000
-3.4962 6.0556 0.0000
0.0000 0.0000 3.1376
Co Sb Fe
3 3 3
Cartesian
0.0000 4.0371 0.0000
0.0000 0.0000 1.5688
3.4962 2.0185 0.0000
-1.0077 1.7453 0.0000
2.4886 4.3103 0.0000
2.0153 0.0000 0.0000
1.3372 2.3161 1.5688
-2.1590 3.7396 1.5688
4.3181 0.0000 1.5688

***

Entry 3:
FeCoSb, optimized geometry, DFT PBE; magnetic moment = 0.883 μB per atom; calculated density = 9.3 g/cm³; uncorrected energy = -6.38 eV per atom
1.0
-1.3754 -4.3066 -2.6139
3.8529 -0.2098 -1.6818
2.3364 -4.3221 5.8917
Fe Sb Co
4 4 4
Cartesian
2.6342 -3.4188 3.8274
2.8153 -3.1698 -1.0561
2.1798 -5.4197 -2.2314
1.9987 -5.6687 2.6521
4.5850 -5.2929 3.2631
3.2085 -6.1719 0.2191
1.6055 -2.6666 1.3770
0.2289 -3.5455 -1.6671
3.9741 -7.6638 2.1591
0.8399 -1.1747 -0.5631
3.7891 -3.8961 1.2654
1.0248 -4.9424 0.3306

***

Entry 4:
FeCoSb, optimized geometry, DFT PBE; magnetic moment = 0.762 μB per atom; calculated density = 8.9 g/cm³; uncorrected energy = -6.32 eV per atom
1.0
6.3010 0.0000 0.0000
-3.1505 5.4568 0.0000
0.0000 0.0000 3.8501
Sb Co Fe
3 3 3
Cartesian
0.0000 0.0000 1.9250
3.1505 1.8189 0.0000
0.0000 3.6379 0.0000
-0.7812 1.3530 0.0000
2.3693 4.1038 0.0000
1.5624 0.0000 0.0000
-1.8387 3.1846 1.9250
3.6773 0.0000 1.9250
1.3119 2.2722 1.9250

***

Entry 5:
FeCoSb, optimized geometry, DFT PBE; magnetic moment = 0.878 μB per atom; calculated density = 9.3 g/cm³; uncorrected energy = -6.40 eV per atom
1.0
-3.7745 -1.6092 -1.2990
3.3073 0.2149 -2.7459
1.5419 -4.8116 1.4805
Fe Sb Co
2 2 2
Cartesian
0.3856 -1.2034 0.3703
1.1566 -3.6092 1.1105
-1.4139 -1.0012 -1.7813
1.7176 -2.7989 -1.5234
-0.6430 -3.4070 -1.0411
0.9467 -0.3931 -2.2636

***

Entry 6:
FeCoSb, optimized geometry, DFT PBE; magnetic moment = 0.359 μB per atom; calculated density = 9.5 g/cm³; uncorrected energy = -6.25 eV per atom
1.0
-2.5585 -3.0444 -1.4924
2.6684 -0.8455 3.1947
-3.7034 1.4127 3.4672
Fe Sb Co
2 2 2
Cartesian
-1.8514 -0.5190 4.2327
-1.7420 -1.9583 0.9368
0.0003 -1.2253 2.4992
-3.5938 -1.2519 2.6704
0.0000 0.0000 0.0000
-1.8517 0.7063 1.7336

***

Entry 7:
FeCoSb, optimized geometry, DFT PBE; magnetic moment = 0.697 μB per atom; calculated density = 8.9 g/cm³; uncorrected energy = -6.22 eV per atom
1.0
6.3187 0.0000 0.0000
-3.1593 5.4721 0.0000
0.0000 0.0000 3.8277
Fe Sb Co
3 3 3
Cartesian
-0.7781 1.3477 0.0000
2.3812 4.1244 0.0000
1.5562 0.0000 0.0000
0.0000 3.6481 0.0000
3.1593 1.8240 0.0000
0.0000 0.0000 1.9139
-1.8544 3.2119 1.9139
1.3050 2.2603 1.9139
3.7088 0.0000 1.9139

***

Entry 8:
ScFeCo2Sb2, optimized geometry, DFT PBE; magnetic moment = 0.500 μB per atom; calculated density = 7.4 g/cm³; uncorrected energy = -6.53 eV per atom
1.0
-3.5951 1.4613 1.6465
-0.6079 -6.8092 4.7162
3.0700 2.7056 4.3021
Sb Co Sc Fe
4 4 2 2
Cartesian
1.1851 -2.9165 5.1761
-1.9878 -1.7496 2.6093
1.4031 0.4639 2.6520
0.6824 -2.5846 9.1807
-1.1293 0.6185 2.3820
2.1296 -0.3650 4.9740
-1.3764 -2.9299 4.9917
1.7313 -4.0466 7.3718
-0.4617 -0.4611 4.7979
-0.3479 -4.2110 2.9779
2.9764 1.8656 4.8431
-0.8173 -3.9215 7.0926

***

Entry 9:
FeCoSbW, optimized geometry, DFT PBE; magnetic moment = 0.760 μB per atom; calculated density = 12.2 g/cm³; uncorrected energy = -7.76 eV per atom
1.0
0.0000 3.0547 3.0547
3.0547 0.0000 3.0547
3.0547 3.0547 0.0000
Co Fe Sb W
1 1 1 1
Cartesian
4.5820 4.5820 4.5820
1.5273 1.5273 1.5273
0.0000 0.0000 0.0000
3.0547 3.0547 3.0547

***

Entry 10:
FeCoSbW, optimized geometry, DFT PBE; magnetic moment = 0.290 μB per atom; calculated density = 12.0 g/cm³; uncorrected energy = -7.64 eV per atom
1.0
0.0000 3.0717 3.0717
3.0717 0.0000 3.0717
3.0717 3.0717 0.0000
W Fe Sb Co
1 1 1 1
Cartesian
1.5358 1.5358 1.5358
4.6075 4.6075 4.6075
0.0000 0.0000 0.0000
3.0717 3.0717 3.0717

***

Entry 11:
YFeCoSb, optimized geometry, DFT PBE; magnetic moment = 0.958 μB per atom; calculated density = 7.4 g/cm³; uncorrected energy = -6.37 eV per atom
1.0
0.9818 -0.9672 4.4922
-0.0745 3.4288 3.2121
-3.4114 0.1206 3.2291
Fe Co Sb Y
1 1 1 1
Cartesian
-1.2520 1.2911 5.4667
-1.8781 1.9366 8.2001
0.0000 0.0000 0.0000
-0.6260 0.6455 2.7333

***

Entry 12:
YFeCoSb, optimized geometry, DFT PBE; magnetic moment = 0.976 μB per atom; calculated density = 7.6 g/cm³; uncorrected energy = -6.36 eV per atom
1.0
0.0000 3.2834 3.2834
3.2834 0.0000 3.2834
3.2834 3.2834 0.0000
Fe Sb Co Y
1 1 1 1
Cartesian
4.9251 4.9251 4.9251
0.0000 0.0000 0.0000
3.2834 3.2834 3.2834
1.6417 1.6417 1.6417

***

Entry 13:
YFeCoSb, optimized geometry, DFT PBE; magnetic moment = 0.254 μB per atom; calculated density = 8.3 g/cm³; uncorrected energy = -6.63 eV per atom
1.0
1.5104 -3.7897 1.9467
-2.7571 -2.4544 2.6090
-1.4812 -4.0227 -1.4339
Sb Y Fe Co
1 1 1 1
Cartesian
0.0000 0.0000 0.0000
-1.3640 -5.1334 1.5609
-0.6820 -2.5667 0.7805
-2.0460 -7.7001 2.3414

***

Entry 14:
ZrFeCoSb, optimized geometry, DFT PBE; magnetic moment = 0.826 μB per atom; calculated density = 8.2 g/cm³; uncorrected energy = -6.92 eV per atom
1.0
0.0000 3.2094 3.2094
3.2094 0.0000 3.2094
3.2094 3.2094 0.0000
Fe Sb Co Zr
1 1 1 1
Cartesian
4.8141 4.8141 4.8141
0.0000 0.0000 0.0000
3.2094 3.2094 3.2094
1.6047 1.6047 1.6047

***

Entry 15:
ZrFeCoSb, optimized geometry, DFT PBE; magnetic moment = 0.795 μB per atom; calculated density = 8.2 g/cm³; uncorrected energy = -6.97 eV per atom
1.0
0.0000 3.2077 3.2077
3.2077 0.0000 3.2077
3.2077 3.2077 0.0000
Fe Zr Co Sb
1 1 1 1
Cartesian
3.2077 3.2077 3.2077
1.6038 1.6038 1.6038
4.8115 4.8115 4.8115
0.0000 0.0000 0.0000

***

Entry 16:
ZrFeCoSb, optimized geometry, DFT PBE; magnetic moment = 0.500 μB per atom; calculated density = 8.8 g/cm³; uncorrected energy = -7.30 eV per atom
1.0
0.0000 3.1335 3.1335
3.1335 0.0000 3.1335
3.1335 3.1335 0.0000
Sb Fe Zr Co
1 1 1 1
Cartesian
0.0000 0.0000 0.0000
1.5668 1.5668 1.5668
3.1335 3.1335 3.1335
4.7003 4.7003 4.7003

***

Entry 17:
ScFe2Co, optimized geometry, DFT PBE; magnetic moment = 1.256 μB per atom; calculated density = 6.9 g/cm³; uncorrected energy = -7.58 eV per atom
1.0
0.9911 1.5671 3.7618
-1.2759 3.8490 1.0706
-2.9728 0.4878 2.9178
Fe Sc Co
2 1 1
Cartesian
0.0000 0.0000 0.0000
-2.4432 4.4279 5.8126
-1.6288 2.9520 3.8751
-0.8144 1.4760 1.9376

***

Entry 18:
ScFeCo2, optimized geometry, DFT PBE; magnetic moment = 1.132 μB per atom; calculated density = 7.0 g/cm³; uncorrected energy = -7.24 eV per atom
1.0
3.3307 -2.1178 1.3742
0.0104 -4.1780 -0.1087
2.4608 -2.0137 -2.7123
Sc Fe Co
1 1 2
Cartesian
2.9010 -4.1548 -0.7234
1.4505 -2.0774 -0.3617
4.3515 -6.2321 -1.0851
0.0000 0.0000 0.0000

***

Entry 19:
ScTlFeCo, optimized geometry, DFT PBE; magnetic moment = 1.010 μB per atom; calculated density = 9.2 g/cm³; uncorrected energy = -5.84 eV per atom
1.0
-1.4441 -1.1292 4.1479
-0.3893 3.1804 3.2093
-4.1071 1.3116 1.4062
Sc Fe Co Tl
1 1 1 1
Cartesian
-1.4851 0.8407 2.1908
-2.9702 1.6814 4.3817
-4.4553 2.5221 6.5726
0.0000 0.0000 0.0000

***

Entry 20:
ScTlFeCo, optimized geometry, DFT PBE; magnetic moment = 0.606 μB per atom; calculated density = 9.5 g/cm³; uncorrected energy = -5.89 eV per atom
1.0
0.0000 3.1710 3.1710
3.1710 0.0000 3.1710
3.1710 3.1710 0.0000
Fe Tl Co Sc
1 1 1 1
Cartesian
1.5855 1.5855 1.5855
0.0000 0.0000 0.0000
4.7565 4.7565 4.7565
3.1710 3.1710 3.1710